! FeReHg2 GGA-PBE optimized geometry; values from VASP
&SYSTEM
  ibrav = 0, nat = 4, ntyp = 3
/
ATOMIC_SPECIES
Hg 200.59 Hg.upf
Re 186.21 Re.upf
Fe 55.84 Fe.upf
ATOMIC_POSITIONS angstrom
Hg 0.0000 0.0000 5.7291
Re 1.4031 2.1470 1.4365
Hg 0.0000 0.0000 2.8900
Fe 1.4031 2.1470 4.3095
CELL_PARAMETERS angstrom
2.8061 0.0000 0.0000
0.0000 4.2940 0.0000
0.0000 0.0000 5.7460
! - distance to the lowest polymorph of the same formula (meV/atom) = 411
! - calculated formation energy (meV per atom) = 817

! FeReHg2 GGA-PBE optimized geometry; values from VASP
&SYSTEM
  ibrav = 0, nat = 4, ntyp = 3
/
ATOMIC_SPECIES
Hg 200.59 Hg.upf
Fe 55.84 Fe.upf
Re 186.21 Re.upf
ATOMIC_POSITIONS angstrom
Hg -2.1967 2.7420 4.6428
Fe -3.3150 4.1643 6.9673
Re -1.1050 1.3881 2.3224
Hg -0.5001 -1.9176 4.7905
CELL_PARAMETERS angstrom
-0.6796 4.2311 2.5768
-3.2535 3.2732 1.9246
-0.4868 -1.9518 4.7884
! - distance to the lowest polymorph of the same formula (meV/atom) = 388
! - calculated formation energy (meV per atom) = 794

! ScFe2ReHg GGA-PBE optimized geometry; values from VASP
&SYSTEM
  ibrav = 0, nat = 5, ntyp = 4
/
ATOMIC_SPECIES
Hg 200.59 Hg.upf
Fe 55.84 Fe.upf
Re 186.21 Re.upf
Sc 44.96 Sc.upf
ATOMIC_POSITIONS angstrom
Hg 0.0000 0.0000 0.0000
Fe 2.3115 0.0000 0.0000
Fe 0.0000 2.3115 0.0000
Re 2.3115 2.3115 2.4810
Sc 0.0000 0.0000 2.4810
CELL_PARAMETERS angstrom
4.6231 0.0000 0.0000
0.0000 4.6231 0.0000
0.0000 0.0000 4.9620
! - calculated formation energy (meV per atom) = 1926

! FeReHg2Se GGA-PBE optimized geometry; values from VASP
&SYSTEM
  ibrav = 0, nat = 5, ntyp = 4
/
ATOMIC_SPECIES
Hg 200.59 Hg.upf
Re 186.21 Re.upf
Se 78.96 Se.upf
Fe 55.84 Fe.upf
ATOMIC_POSITIONS angstrom
Hg -1.3038 2.1548 0.5500
Re -4.1180 0.7875 -0.7645
Se -1.5890 -1.2034 0.9478
Hg -1.2252 -0.1639 -2.2622
Fe 0.0000 0.0000 0.0000
CELL_PARAMETERS angstrom
-2.4504 -0.3278 -4.5244
-3.1781 -2.4067 1.8956
-2.6076 4.3096 1.0999
! - formation energy from raw total energies (eV per atom) = 1.3317

! Ta2FeReHg GGA-PBE optimized geometry; values from VASP
&SYSTEM
  ibrav = 0, nat = 5, ntyp = 4
/
ATOMIC_SPECIES
Ta 180.95 Ta.upf
Re 186.21 Re.upf
Hg 200.59 Hg.upf
Fe 55.84 Fe.upf
ATOMIC_POSITIONS angstrom
Ta 2.4798 0.0000 0.0000
Re 0.0000 2.4542 0.0000
Ta 0.0000 0.0000 2.4798
Hg 0.0000 0.0000 0.0000
Fe 2.4798 2.4542 2.4798
CELL_PARAMETERS angstrom
4.9595 0.0000 0.0000
0.0000 4.9083 0.0000
0.0000 0.0000 4.9595
! - calculated formation energy (meV per atom) = 2772

! Fe2Hg2Rh GGA-PBE optimized geometry; values from VASP
&SYSTEM
  ibrav = 0, nat = 10, ntyp = 3
/
ATOMIC_SPECIES
Fe 55.84 Fe.upf
Hg 200.59 Hg.upf
Rh 102.91 Rh.upf
ATOMIC_POSITIONS angstrom
Fe -0.9798 3.8872 -0.6159
Fe -4.6104 1.8719 -3.4639
Hg -3.3559 4.9701 0.2353
Hg -5.7864 3.7594 -1.6665
Fe -3.6340 5.1857 -2.6024
Rh 0.0000 0.0000 0.0000
Hg -4.7732 0.6747 -0.9975
Hg -2.3428 1.8854 0.9043
Fe -1.9563 0.5734 -1.4774
Rh -2.7951 2.8796 -2.0399
CELL_PARAMETERS angstrom
-0.5651 6.3377 -0.2140
-5.0252 -0.5786 -3.8657
-2.5389 -0.1144 3.3175
! - distance to the lowest polymorph of the same formula (meV/atom) = 0
! - calculated formation energy (meV per atom) = 450

! Fe4HgRh GGA-PBE optimized geometry; values from VASP
&SYSTEM
  ibrav = 0, nat = 6, ntyp = 3
/
ATOMIC_SPECIES
Fe 55.84 Fe.upf
Rh 102.91 Rh.upf
Hg 200.59 Hg.upf
ATOMIC_POSITIONS angstrom
Fe 1.3582 -0.7169 4.2087
Rh 0.0000 0.0000 0.0000
Hg 2.7150 -1.4330 8.4131
Fe 0.6547 -1.4106 6.4329
Fe 2.8698 -2.0033 5.6171
Fe 2.3574 0.3094 6.1764
CELL_PARAMETERS angstrom
3.0277 -2.5766 2.8211
2.0015 2.0555 3.9413
-1.4091 -1.3895 4.4551
! - calculated formation energy (meV per atom) = 170

! Fe2Hg2Rh GGA-PBE optimized geometry; values from VASP
&SYSTEM
  ibrav = 0, nat = 5, ntyp = 3
/
ATOMIC_SPECIES
Rh 102.91 Rh.upf
Fe 55.84 Fe.upf
Hg 200.59 Hg.upf
ATOMIC_POSITIONS angstrom
Rh 0.0000 0.0000 0.0000
Fe 0.5323 -0.6623 7.3811
Hg -0.6807 -1.5005 5.0375
Hg 0.4335 1.0186 5.1832
Fe -0.7795 0.1805 2.8397
CELL_PARAMETERS angstrom
-0.4242 3.0710 2.3678
-2.6525 -1.9673 2.0764
2.8294 -1.5855 5.7766
! - distance to the lowest polymorph of the same formula (meV/atom) = 330
! - calculated formation energy (meV per atom) = 781